Entry 1:
# CdFe3Bi | Alexandria | GGA-PBE | relaxed
data_CdFe3Bi
_cell_length_a 4.802
_cell_length_b 4.802
_cell_length_c 4.802
_cell_angle_alpha 90.00
_cell_angle_beta 90.00
_cell_angle_gamma 90.00
_space_group_name_H-M_alt 'P 1'
_space_group_IT_number 1
loop_
_space_group_symop_operation_xyz
'x,y,z'
loop_
_atom_site_label
_atom_site_type_symbol
_atom_site_fract_x
_atom_site_fract_y
_atom_site_fract_z
_atom_site_occupancy
Bi1 Bi 0.500 0.500 0.500 1
Fe1 Fe 0.000 0.000 0.500 1
Fe2 Fe 0.500 0.000 0.000 1
Fe3 Fe 0.000 0.500 0.000 1
Cd1 Cd 0.000 0.000 0.000 1
# ΔE_f ... 1.367 eV per atom
# E above lowest polymorph ... 0.000 eV per atom
# Total moment ... 8.82 μB/f.u.
# Total energy ... -4.670 eV/atom

Entry 2:
# CdIn2FeBi | Alexandria | GGA-PBE | relaxed
data_CdIn2FeBi
_cell_length_a 6.042
_cell_length_b 4.953
_cell_length_c 6.042
_cell_angle_alpha 90.00
_cell_angle_beta 90.00
_cell_angle_gamma 90.00
_space_group_name_H-M_alt 'P 1'
_space_group_IT_number 1
loop_
_space_group_symop_operation_xyz
'x,y,z'
loop_
_atom_site_label
_atom_site_type_symbol
_atom_site_fract_x
_atom_site_fract_y
_atom_site_fract_z
_atom_site_occupancy
In1 In 0.000 0.000 0.500 1
In2 In 0.500 0.000 0.000 1
Fe1 Fe 0.000 0.500 0.000 1
Cd1 Cd 0.500 0.500 0.500 1
Bi1 Bi 0.000 0.000 0.000 1
# ΔE_f ... 0.846 eV per atom
# Total moment ... 2.59 μB/f.u.
# Total energy ... -2.901 eV/atom

Entry 3:
# KCdFe2Bi | Alexandria | GGA-PBE | relaxed
data_KCdFe2Bi
_cell_length_a 5.139
_cell_length_b 5.725
_cell_length_c 5.139
_cell_angle_alpha 90.00
_cell_angle_beta 90.00
_cell_angle_gamma 90.00
_space_group_name_H-M_alt 'P 1'
_space_group_IT_number 1
loop_
_space_group_symop_operation_xyz
'x,y,z'
loop_
_atom_site_label
_atom_site_type_symbol
_atom_site_fract_x
_atom_site_fract_y
_atom_site_fract_z
_atom_site_occupancy
K1 K 0.500 0.500 0.500 1
Cd1 Cd 0.000 0.000 0.000 1
Bi1 Bi 0.000 0.500 0.000 1
Fe1 Fe 0.000 0.000 0.500 1
Fe2 Fe 0.500 0.000 0.000 1
# ΔE_f ... 1.054 eV per atom
# Total moment ... 6.43 μB/f.u.
# Total energy ... -3.510 eV/atom

Entry 4:
# Cd2FeBiN | Alexandria | GGA-PBE | relaxed
data_Cd2FeBiN
_cell_length_a 5.256
_cell_length_b 3.604
_cell_length_c 5.256
_cell_angle_alpha 90.00
_cell_angle_beta 90.00
_cell_angle_gamma 90.00
_space_group_name_H-M_alt 'P 1'
_space_group_IT_number 1
loop_
_space_group_symop_operation_xyz
'x,y,z'
loop_
_atom_site_label
_atom_site_type_symbol
_atom_site_fract_x
_atom_site_fract_y
_atom_site_fract_z
_atom_site_occupancy
Cd1 Cd 0.500 0.000 0.000 1
Cd2 Cd 0.000 0.000 0.500 1
Fe1 Fe 0.000 0.500 0.000 1
Bi1 Bi 0.500 0.500 0.500 1
N1 N 0.000 0.000 0.000 1
# Total moment ... 2.14 μB/f.u.
# Total energy ... -4.090 eV/atom